The following is a DFT calculation (GGA-PBE) of crystalline Sr2ErPaN4 at its relaxed geometry.

Values from the calculation:
Formation energy (no corrections)   -133.49 kJ per mole of atoms

```
data_Sr2ErPaN4
_space_group_name_H-M_alt 'P 1 2/m 1'
_space_group_IT_number 10
_space_group_name_Hall '-P 2y'
_cell_length_a 6.133
_cell_length_b 3.613
_cell_length_c 6.346
_cell_angle_alpha 90.00
_cell_angle_beta 108.60
_cell_angle_gamma 90.00
loop_
_atom_site_label
_atom_site_type_symbol
_atom_site_fract_x
_atom_site_fract_y
_atom_site_fract_z
Sr1 Sr 0.000 0.000 0.000
Sr2 Sr 0.500 0.500 0.000
Er1 Er 0.000 0.500 0.500
Pa1 Pa 0.500 0.000 0.500
N1 N 0.252 0.000 0.704
N2 N 0.274 0.500 0.297
```